# 1
Sn2RuAu | PBE | relaxed

Output
The value obtained for the polymorph energy (0 for the lowest one) is 0.303 eV per atom. The density of states at the Fermi level comes out at 0.858 states/eV per atom. For the formation energy, the calculation gives 0.514 eV per atom. The value obtained for the magnetization is 0.00 μB per formula unit.

Cell lengths 3.1928, 3.1928, 29.1315 Å; angles 90.00, 90.00, 120.00 degrees
Space group R-3m (No. 166, hexagonal axes)
Asymmetric unit:
1 Sn 0.0000 0.0000 0.0877
2 Ru 0.0000 0.0000 0.0000
3 Au 0.0000 0.0000 0.5000


# 2
SnRuAu | PBE | relaxed

Output
The density of states at the Fermi level comes out at 0.828 states/eV per atom. For the formation energy, the calculation gives 0.120 eV per atom. The value obtained for the magnetization is 0.00 μB per formula unit.

Cell lengths 4.6104, 4.6104, 5.7705 Å; angles 90.00, 90.00, 120.00 degrees
Space group P6_3/mmc (No. 194)
Asymmetric unit:
1 Sn 0.3333 0.6667 0.2500
2 Ru 0.3333 0.6667 0.7500
3 Au 0.0000 0.0000 0.0000


# 3
Sn2Ru2Au | PBE | relaxed

Output
The value obtained for the polymorph energy (0 for the lowest one) is 0.128 eV per atom. The density of states at the Fermi level comes out at 0.722 states/eV per atom. For the formation energy, the calculation gives 0.097 eV per atom. The value obtained for the magnetization is 0.00 μB per formula unit.

Cell lengths 7.6339, 7.6339, 3.1009 Å; angles 90.00, 90.00, 90.00 degrees
Space group P4/mbm (No. 127)
Asymmetric unit:
1 Sn 0.1507 0.3493 0.0000
2 Ru 0.1455 0.6455 0.5000
3 Au 0.0000 0.0000 0.0000


# 4
SnRu2Au | PBE | relaxed

Output
The density of states at the Fermi level comes out at 1.106 states/eV per atom. For the formation energy, the calculation gives 0.537 eV per atom. The value obtained for the magnetization is 0.93 μB per formula unit.

Cell lengths 3.9673, 3.9673, 19.4136 Å; angles 90.00, 90.00, 90.00 degrees
Space group I-42d (No. 122)
Asymmetric unit:
1 Sn 0.0000 0.0000 0.0000
2 Ru 0.1784 0.2500 0.6250
3 Au 0.0000 0.0000 0.5000


# 5
Sn2RuAu | PBE | relaxed

Output
The value obtained for the polymorph energy (0 for the lowest one) is 0.000 eV per atom. The density of states at the Fermi level comes out at 0.757 states/eV per atom. For the formation energy, the calculation gives 0.211 eV per atom. The value obtained for the magnetization is 0.00 μB per formula unit.

Cell lengths 6.7617, 6.7617, 6.7617 Å; angles 90.00, 90.00, 90.00 degrees
Space group Fm-3m (No. 225)
Asymmetric unit:
1 Sn 0.2500 0.2500 0.2500
2 Ru 0.0000 0.0000 0.0000
3 Au 0.0000 0.0000 0.5000


# 6
Sn2RuAu | PBE | relaxed

Output
The value obtained for the polymorph energy (0 for the lowest one) is 0.196 eV per atom. The density of states at the Fermi level comes out at 0.520 states/eV per atom. For the formation energy, the calculation gives 0.407 eV per atom. The value obtained for the magnetization is 0.00 μB per formula unit.

Cell lengths 6.2368, 6.2368, 11.6930 Å; angles 90.00, 90.00, 90.00 degrees
Space group I-42d (No. 122)
Asymmetric unit:
1 Sn 0.2239 0.2500 0.1250
2 Ru 0.0000 0.0000 0.0000
3 Au 0.0000 0.0000 0.5000


# 7
SnRu2Au2 | PBE | relaxed

Output
The density of states at the Fermi level comes out at 1.097 states/eV per atom. For the formation energy, the calculation gives 0.267 eV per atom. The value obtained for the magnetization is 0.00 μB per formula unit.

Cell lengths 6.6668, 6.6668, 4.0893 Å; angles 90.00, 90.00, 90.00 degrees
Space group P4/mbm (No. 127)
Asymmetric unit:
1 Sn 0.0000 0.0000 0.0000
2 Ru 0.1278 0.3722 0.0000
3 Au 0.1714 0.6714 0.5000


# 8
TcSnRuAu2 | PBE | relaxed

Output
The density of states at the Fermi level comes out at 1.268 states/eV per atom. For the formation energy, the calculation gives 1.503 eV per atom. The value obtained for the magnetization is 3.28 μB per formula unit.

Cell lengths 4.9942, 4.9942, 5.0065 Å; angles 90.00, 90.00, 90.00 degrees
Space group P4/mmm (No. 123)
Asymmetric unit:
1 Tc 0.0000 0.0000 0.0000
2 Sn 0.0000 0.0000 0.5000
3 Ru 0.5000 0.5000 0.5000
4 Au 0.0000 0.5000 0.0000